(1)
A plane-wave DFT calculation with PBE was carried out for crystalline AsPtRh2 at its relaxed geometry.

a b c (Å): 2.9203 2.9203 6.9802
angles (deg): 90.00 90.00 90.00
Last column: nearest neighbours and their distance in Å.
Space group P4/mmm (No. 123)
Symmetry-distinct sites (fractional):
As 0.0000 0.0000 0.0000 [1 per cell]  8 Rh 2.58
Pt 0.0000 0.0000 0.5000 [1 per cell]  8 Rh 2.84, 4 Pt 2.92
Rh 0.5000 0.5000 0.2208 [2 per cell]  4 As 2.58, 4 Pt 2.84

Values from the calculation:
**Density of states at the Fermi level**: 5.99 states/eV/cell
**Uncorrected energy**: -0.237 hartree per atom
**Formation enthalpy at 0 K**: -0.1089 eV/atom



(2)
A plane-wave DFT calculation with PBE was carried out for crystalline SrBe2Ru at its relaxed geometry.

a b c (Å): 3.3090 5.1607 8.3680
angles (deg): 90.00 90.00 90.00
Last column: nearest neighbours and their distance in Å.
Space group Immm (No. 71)
Symmetry-distinct sites (fractional):
Sr 0.0000 0.0000 0.0000 [2 per cell]  8 Be 3.01-3.11, 4 Ru 3.07, 2 Sr 3.31
Be 0.0000 0.5000 0.1859 [4 per cell]  2 Ru 2.27
Ru 0.0000 0.0000 0.5000 [2 per cell]  4 Be 2.27

Values from the calculation:
**Density of states at the Fermi level**: 1.77 states/eV/cell
**Uncorrected energy**: -0.151 hartree per atom
**Excess energy over the best structure of this formula in the dataset**: 0.5557 eV/atom
**Formation enthalpy at 0 K**: 0.4960 eV/atom



(3)
A plane-wave DFT calculation with PBE was carried out for crystalline Cs4TbDy3Te8 at its relaxed geometry.

a b c (Å): 9.1149 9.1149 26.7665
angles (deg): 90.00 90.00 120.00
Last column: nearest neighbours and their distance in Å.
Space group R-3m (No. 166, hexagonal axes)
Symmetry-distinct sites (fractional):
Cs 0.0000 0.0000 0.0000 [3 per cell]  6 Te 3.81
Cs 0.0000 0.5000 0.0000 [9 per cell]  6 Te 3.82
Tb 0.0000 0.0000 0.5000 [3 per cell]  6 Te 3.13
Dy 0.0000 0.5000 0.5000 [9 per cell]  6 Te 3.13
Te 0.0000 0.0000 0.2298 [6 per cell]  3 Dy 3.13
Te 0.0008 0.5004 0.7701 [18 per cell]  2 Dy 3.13, 1 Tb 3.13

Values from the calculation:
**Uncorrected energy**: -0.159 hartree per atom
**Formation energy (no corrections)**: -1.39 eV/atom



(4)
A plane-wave DFT calculation with PBE was carried out for crystalline CdMo2P at its relaxed geometry.

a b c (Å): 3.3184 4.3374 4.5368
angles (deg): 90.00 90.00 90.00
Last column: nearest neighbours and their distance in Å.
Space group Pmmm (No. 47)
Symmetry-distinct sites (fractional):
Cd 0.0000 0.0000 0.0000 [1 per cell]  4 Mo 2.73, 4 P 2.81
Mo 0.0000 0.5000 0.5000 [1 per cell]  4 P 2.73, 4 Mo 2.81
Mo 0.5000 0.5000 0.0000 [1 per cell]  4 Cd 2.73, 4 Mo 2.81
P 0.5000 0.0000 0.5000 [1 per cell]  4 Mo 2.73, 4 Cd 2.81

Values from the calculation:
**Density of states at the Fermi level**: 4.12 states/eV/cell
**Uncorrected energy**: -0.237 hartree per atom
**Excess energy over the best structure of this formula in the dataset**: 0.5381 eV/atom
**Formation enthalpy at 0 K**: 0.5362 eV/atom